A relaxed structure of La2NiSb. Source: Alexandria via LeMat-Bulk, functional GGA-PBE.

Summary:
Its density is 7.4 g/cm3. The value obtained for the raw total energy is -5.539 eV/atom.

```
data_La2NiSb
_chemical_formula_sum 'La4 Ni2 Sb2'
_cell_length_a 3.924
_cell_length_b 4.774
_cell_length_c 10.994
_cell_angle_alpha 90.00
_cell_angle_beta 90.00
_cell_angle_gamma 90.00
_symmetry_space_group_name_H-M 'I m m 2'
_symmetry_Int_Tables_number 44
loop_
_symmetry_equiv_pos_as_xyz
'x,y,z'
'-x,-y,z'
'-x,y,z'
'x,-y,z'
'x+1/2,y+1/2,z+1/2'
'-x+1/2,-y+1/2,z+1/2'
'-x+1/2,y+1/2,z+1/2'
'x+1/2,-y+1/2,z+1/2'
loop_
_atom_site_label
_atom_site_type_symbol
_atom_site_fract_x
_atom_site_fract_y
_atom_site_fract_z
_atom_site_occupancy
La1 La 0.000 0.000 0.000 1
La2 La 0.000 0.500 0.211 1
Ni1 Ni 0.000 0.500 0.741 1
Sb1 Sb 0.000 0.000 0.414 1
```

A relaxed structure of La2NiSb. Source: Alexandria via LeMat-Bulk, functional GGA-PBE.

Summary:
Its density is 7.0 g/cm3. The value obtained for the raw total energy is -5.176 eV/atom.

```
data_La2NiSb
_chemical_formula_sum 'La2 Ni1 Sb1'
_cell_length_a 3.529
_cell_length_b 3.529
_cell_length_c 8.763
_cell_angle_alpha 90.00
_cell_angle_beta 90.00
_cell_angle_gamma 90.00
_symmetry_space_group_name_H-M 'P 4 m m'
_symmetry_Int_Tables_number 99
loop_
_symmetry_equiv_pos_as_xyz
'x,y,z'
'-y,x,z'
'-x,-y,z'
'y,-x,z'
'-x,y,z'
'y,x,z'
'x,-y,z'
'-y,-x,z'
loop_
_atom_site_label
_atom_site_type_symbol
_atom_site_fract_x
_atom_site_fract_y
_atom_site_fract_z
_atom_site_occupancy
La1 La 0.000 0.000 0.000 1
La2 La 0.500 0.500 0.384 1
Ni1 Ni 0.000 0.000 0.585 1
Sb1 Sb 0.500 0.500 0.744 1
```

Number 1: DOS at the Fermi energy 0.757 states/eV/atom. Number 2: DOS at the Fermi energy 0.905 states/eV/atom.